[1]
VASP calculation (PBE) on crystalline Be2OsW at its relaxed geometry.

Values from the calculation:
Formation energy from the elements (eV per atom): 0.15
V (Å³/f.u.): 49.2

Unit cell a=3.751 b=2.656 c=5.052 alpha=78.01 beta=90.00 gamma=90.00
Sites, in units of the cell vectors:
Os 0.500 0.250 0.250
Be 0.000 0.455 0.491
Be 0.000 0.045 0.009
W 0.500 0.750 0.750

[2]
VASP calculation (PBE) on crystalline Be17OsW at its relaxed geometry.

Values from the calculation:
Formation energy from the elements (eV per atom): -0.13
V (Å³/f.u.): 160.1

Unit cell a=5.467 b=5.467 c=5.467 alpha=83.10 beta=83.10 gamma=83.10
Sites, in units of the cell vectors:
Be 0.100 0.100 0.100
Be 0.996 0.305 0.700
Be 0.354 0.354 0.832
Be 0.305 0.700 0.996
Be 0.650 0.650 0.149
Be 0.007 0.007 0.495
Be 0.832 0.354 0.354
Be 0.007 0.495 0.007
Be 0.700 0.996 0.305
W 0.340 0.340 0.340
Os 0.664 0.664 0.664
Be 0.495 0.007 0.007
Be 0.700 0.305 0.996
Be 0.897 0.897 0.897
Be 0.354 0.832 0.354
Be 0.305 0.996 0.700
Be 0.996 0.700 0.305
Be 0.650 0.149 0.650
Be 0.149 0.650 0.650

[3]
VASP calculation (PBE) on crystalline BeOs2W at its relaxed geometry.

Values from the calculation:
Formation energy from the elements (eV per atom): 0.36
V (Å³/f.u.): 55.6

Unit cell a=2.956 b=4.494 c=4.182 alpha=90.00 beta=90.00 gamma=90.00
Sites, in units of the cell vectors:
Be 0.000 0.500 0.500
Os 0.000 0.000 0.000
W 0.500 0.000 0.500
Os 0.500 0.500 0.000

[4]
VASP calculation (PBE) on crystalline BeOs2W at its relaxed geometry.

Values from the calculation:
Formation energy from the elements (eV per atom): 0.10
V (Å³/f.u.): 55.2

Unit cell a=2.762 b=3.847 c=5.195 alpha=90.00 beta=90.00 gamma=90.00
Sites, in units of the cell vectors:
Be 0.500 0.500 0.767
Os 0.000 0.000 0.973
W 0.000 0.000 0.507
Os 0.500 0.500 0.254